(1)
Compound: CaP2AuO
Source: the Alexandria database
Functional: PBE
Structure: optimized geometry

excess energy over the best structure of this formula in the dataset	0	meV/atom
D(E_F)	4.9	states/eV per cell
total moment	0.096	μB per atom
formation energy (no corrections)	0.115	eV/atom
symmetry	P4/mmm (123)
crystal system	tetragonal

Lattice parameters (Å, degrees): 4.9111 4.9111 4.1651 90.00 90.00 90.00
With the nearest neighbours (Å) after each atom.
Element x y z (fractional)
P: 0.0000 0.5000 0.0000  2 Au 2.46
P: 0.5000 0.0000 0.0000  2 Au 2.46
O: 0.0000 0.0000 0.5000  2 Au 2.08
Au: 0.0000 0.0000 0.0000  2 O 2.08
Ca: 0.5000 0.5000 0.5000  8 P 3.22, 4 O 3.47

---

(2)
Compound: Ca2PaAuO6
Source: the Alexandria database
Functional: PBE
Structure: optimized geometry

D(E_F)	1.3	states/eV per cell
total moment	0.090	μB per atom
formation energy (no corrections)	-2.189	eV/atom
symmetry	P4mm (99)
crystal system	tetragonal

Lattice parameters (Å, degrees): 4.5173 5.9680 5.9680 90.00 90.00 90.00
With the nearest neighbours (Å) after each atom.
Element x y z (fractional)
Ca: 0.9970 0.0000 0.5000  4 O 2.48
Ca: 0.9970 0.5000 0.0000  4 O 2.48
O: 0.7102 0.2538 0.2538  1 Pa 2.11, 1 Au 2.15
O: 0.7102 0.7462 0.7462  1 Pa 2.11, 1 Au 2.15
O: 0.7102 0.2538 0.7462  1 Pa 2.11, 1 Au 2.15
O: 0.7102 0.7462 0.2538  1 Pa 2.11, 1 Au 2.15
O: 0.1706 0.0000 0.0000  2 Au 2.24-2.28
O: 0.1484 0.5000 0.5000  2 Pa 2.16-2.36
Au: 0.6670 0.0000 0.0000  6 O 2.15-2.28
Pa: 0.6262 0.5000 0.5000  6 O 2.11-2.36

---

(3)
Compound: CaPaAu2O8
Source: the Alexandria database
Functional: PBE
Structure: optimized geometry

D(E_F)	6.0	states/eV per cell
total moment	0.071	μB per atom
formation energy (no corrections)	-1.202	eV/atom
symmetry	I-4m2 (119)
crystal system	tetragonal

Lattice parameters (Å, degrees): 6.1854 6.1854 6.1854 109.55 109.55 109.31
With the nearest neighbours (Å) after each atom.
Element x y z (fractional)
O: 0.8874 0.7190 0.1685  1 Au 1.97
O: 0.2810 0.1126 0.8315  1 Au 1.97
O: 0.9619 0.6525 0.6906  1 Au 2.04, 1 Pa 2.22
O: 0.3475 0.0381 0.3094  1 Au 2.04, 1 Pa 2.22
O: 0.5505 0.7190 0.8315  1 Au 1.97
O: 0.7287 0.0381 0.6906  1 Au 2.04, 1 Pa 2.22
O: 0.9619 0.2713 0.3094  1 Au 2.04, 1 Pa 2.22
O: 0.2810 0.4495 0.1685  1 Au 1.97
Au: 0.7500 0.2500 0.5000  4 O 2.04
Au: 0.5000 0.5000 0.0000  4 O 1.97
Pa: 0.0000 0.0000 0.0000  8 O 2.22-2.34
Ca: 0.2500 0.7500 0.5000  8 O 2.38-2.47

---

(4)
Compound: CaPaAuO6
Source: the Alexandria database
Functional: PBE
Structure: optimized geometry

total moment	0.000	μB per atom
formation energy (no corrections)	-1.944	eV/atom
symmetry	P312 (149)
crystal system	trigonal

Lattice parameters (Å, degrees): 4.8195 5.4629 5.4629 120.00 90.00 90.00
With the nearest neighbours (Å) after each atom.
Element x y z (fractional)
Ca: 0.5000 0.6667 0.3333  6 O 2.30
O: 0.7433 0.2981 0.9774  1 Au 2.06, 1 Pa 2.19, 1 Ca 2.30
O: 0.7433 0.0226 0.3207  1 Au 2.06, 1 Pa 2.19, 1 Ca 2.30
O: 0.7433 0.6793 0.7019  1 Au 2.06, 1 Pa 2.19, 1 Ca 2.30
O: 0.2567 0.6793 0.9774  1 Au 2.06, 1 Pa 2.19, 1 Ca 2.30
O: 0.2567 0.2981 0.3207  1 Au 2.06, 1 Pa 2.19, 1 Ca 2.30
O: 0.2567 0.0226 0.7019  1 Au 2.06, 1 Pa 2.19, 1 Ca 2.30
Pa: 0.0000 0.3333 0.6667  6 O 2.19
Au: 0.5000 0.0000 0.0000  6 O 2.06